The following is a DFT calculation (PBE) of CsAcI after structural relaxation.

## Properties
formation energy (no corrections) = -0.547 eV/atom

Cell: 4.3293 17.1277 8.9456 Å, 90.00 90.00 90.00°
Fractional positions:
I  0.2500  0.7466  0.6769
I  0.7500  0.2534  0.3231
I  0.2500  0.7534  0.1769
Cs  0.7500  0.6175  0.4166
Ac  0.7500  0.0933  0.5606
I  0.7500  0.2466  0.8231
Cs  0.2500  0.3825  0.5834
Ac  0.2500  0.5933  0.9394
Ac  0.2500  0.9067  0.4394
Cs  0.2500  0.1175  0.0834
Ac  0.7500  0.4067  0.0606
Cs  0.7500  0.8825  0.9166